No. 1
DFT (PBE) results for a geometry-optimized Li2LaCo structure.

a = 3.8350 Å, b = 6.0530 Å, c = 3.8322 Å
α = 72.63°, β = 86.73°, γ = 107.38°
With the nearest neighbours (Å) after each atom.
Atoms (fractional coordinates):
Li  0.0000  0.0000  0.0000  4 Li 2.63-2.79
Co  0.0000  0.5000  0.5000  4 La 2.63-2.79
Li  0.5000  0.0000  0.5000  4 Li 2.63-2.79
La  0.5000  0.5000  0.0000  4 Co 2.63-2.79

- Magnetic moment: 0.000 μB per atom
- Energy above the lowest structure with this stoichiometry: 54.5 meV/atom
- Formation energy from the elements: 0.185 eV per atom


No. 2
DFT (PBE) results for a geometry-optimized Pm4DyPb5 structure.

a = 3.5773 Å, b = 3.5773 Å, c = 22.9081 Å
α = 90.00°, β = 90.00°, γ = 90.00°
With the nearest neighbours (Å) after each atom.
Atoms (fractional coordinates):
Dy  0.0000  0.0000  0.0000  8 Pb 3.36, 4 Dy 3.58
Pm  0.0000  0.0000  0.8019  8 Pb 3.42-3.44, 4 Pm 3.58
Pm  0.0000  0.0000  0.6007  8 Pb 3.42, 4 Pm 3.58
Pm  0.0000  0.0000  0.3993  8 Pb 3.42, 4 Pm 3.58
Pm  0.0000  0.0000  0.1981  8 Pb 3.42-3.44, 4 Pm 3.58
Pb  0.5000  0.5000  0.9034  4 Dy 3.36, 4 Pm 3.44, 4 Pb 3.58
Pb  0.5000  0.5000  0.7014  8 Pm 3.42, 4 Pb 3.58
Pb  0.5000  0.5000  0.5000  8 Pm 3.42, 4 Pb 3.58
Pb  0.5000  0.5000  0.2986  8 Pm 3.42, 4 Pb 3.58
Pb  0.5000  0.5000  0.0966  4 Dy 3.36, 4 Pm 3.44, 4 Pb 3.58

- Magnetic moment: 0.000 μB per atom
- Formation energy from the elements: -0.493 eV per atom


No. 3
DFT (PBE) results for a geometry-optimized K2DyCl6 structure.

a = 4.2882 Å, b = 8.0715 Å, c = 8.0857 Å
α = 119.94°, β = 90.00°, γ = 90.00°
With the nearest neighbours (Å) after each atom.
Atoms (fractional coordinates):
K  0.0000  0.3325  0.6660  9 Cl 3.17-3.40
Cl  0.0000  0.2345  0.0000  2 Dy 2.86, 2 K 3.17
Dy  0.5000  0.0007  0.0000  9 Cl 2.82-2.86
Cl  0.5000  0.3489  0.3494  1 Dy 2.82
Cl  0.0000  0.9997  0.2334  2 Dy 2.86, 2 K 3.17
K  0.0000  0.6665  0.3340  9 Cl 3.17-3.40
Cl  0.0000  0.7663  0.7666  2 Dy 2.86, 2 K 3.17
Cl  0.5000  0.6514  0.0000  1 Dy 2.82
Cl  0.5000  0.9995  0.6506  1 Dy 2.82

- Magnetic moment: 0.123 μB per atom
- Uncorrected formation energy: -1.785 eV per atom


No. 4
DFT (PBE) results for a geometry-optimized Ca2ScBr structure.

a = 10.4919 Å, b = 10.4919 Å, c = 10.4919 Å
α = 20.46°, β = 20.46°, γ = 20.46°
With the nearest neighbours (Å) after each atom.
Atoms (fractional coordinates):
Ca  0.0132  0.0132  0.0132  3 Br 3.18
Br  0.7561  0.7561  0.7561  3 Sc 2.94, 3 Ca 3.18
Sc  0.4876  0.4876  0.4876  3 Br 2.94
Ca  0.2431  0.2431  0.2431  3 Sc 3.48, 9 Ca 3.73-3.85

- Magnetic moment: 0.127 μB per atom
- Energy above the lowest structure with this stoichiometry: 101.6 meV/atom
- Uncorrected formation energy: -0.460 eV per atom


No. 5
DFT (PBE) results for a geometry-optimized TaCuSi2 structure.

a = 2.7218 Å, b = 2.7218 Å, c = 7.9107 Å
α = 90.00°, β = 90.00°, γ = 89.93°
With the nearest neighbours (Å) after each atom.
Atoms (fractional coordinates):
Cu  0.5000  0.5000  0.7647  4 Si 2.59, 4 Cu 2.72, 4 Ta 2.83
Ta  0.0000  0.0000  0.5030  4 Ta 2.72, 4 Si 2.78, 4 Cu 2.83
Si  0.5000  0.5000  0.2489  8 Si 2.72-2.85, 4 Ta 2.78
Si  0.0000  0.0000  0.9834  4 Cu 2.59, 8 Si 2.72-2.85

- Magnetic moment: 0.000 μB per atom
- Uncorrected formation energy: 0.150 eV per atom


No. 6
DFT (PBE) results for a geometry-optimized Ce6PuAu2 structure.

a = 6.4835 Å, b = 7.6175 Å, c = 10.0771 Å
α = 90.00°, β = 90.75°, γ = 90.00°
With the nearest neighbours (Å) after each atom.
Atoms (fractional coordinates):
Ce  0.1039  0.0214  0.7359  1 Pu 2.47
Ce  0.6565  0.2118  0.9532  1 Pu 2.47
Ce  0.3435  0.7882  0.0468  1 Pu 2.47
Ce  0.6773  0.1602  0.5499  1 Pu 2.48
Pu  0.0000  0.0000  0.5000  6 Ce 2.47-2.48
Ce  0.3227  0.8398  0.4501  1 Pu 2.48
Ce  0.3961  0.5214  0.7641  1 Pu 2.47
Ce  0.1773  0.3398  0.0499  1 Pu 2.48
Ce  0.8435  0.7118  0.5468  1 Pu 2.47
Au  0.4367  0.0969  0.2354  7 Ce 3.02-3.31
Au  0.0633  0.5969  0.2646  7 Ce 3.02-3.31
Ce  0.8227  0.6602  0.9501  1 Pu 2.48
Ce  0.1565  0.2882  0.4532  1 Pu 2.47
Pu  0.5000  0.5000  0.0000  6 Ce 2.47-2.48
Ce  0.6039  0.4786  0.2359  1 Pu 2.47
Au  0.9367  0.4031  0.7354  7 Ce 3.02-3.31
Ce  0.8961  0.9786  0.2641  1 Pu 2.47
Au  0.5633  0.9031  0.7646  7 Ce 3.02-3.31

- Magnetic moment: 0.000 μB per atom
- Energy above the lowest structure with this stoichiometry: 0.0 meV/atom
- Formation energy from the elements: -0.350 eV per atom


No. 7
DFT (PBE) results for a geometry-optimized Cs2RbGaBr4 structure.

a = 9.9368 Å, b = 9.9368 Å, c = 9.9180 Å
α = 119.93°, β = 119.93°, γ = 89.89°
With the nearest neighbours (Å) after each atom.
Atoms (fractional coordinates):
Br  0.2552  0.7257  0.4903  1 Ga 3.30, 2 Rb 3.46, 2 Cs 3.59
Br  0.7541  0.7451  0.5244  2 Ga 3.34-3.35, 1 Rb 3.46, 3 Cs 3.58-3.70
Cs  0.5000  0.5000  0.0000  6 Br 3.69-3.72
Cs  0.5000  0.0000  0.5000  6 Br 3.58-3.59
Rb  0.0000  0.5000  0.5000  6 Br 3.46
Br  0.7448  0.2743  0.5097  1 Ga 3.30, 2 Rb 3.46, 2 Cs 3.59
Br  0.7743  0.2448  0.0097  1 Ga 3.30, 2 Rb 3.46, 2 Cs 3.59
Cs  0.0000  0.0000  0.5000  6 Br 3.69-3.72
Cs  0.5000  0.0000  0.0000  6 Br 3.58-3.59
Br  0.2459  0.2549  0.4756  2 Ga 3.34-3.35, 1 Rb 3.46, 3 Cs 3.58-3.70
Rb  0.0000  0.5000  0.0000  6 Br 3.46
Ga  0.0000  0.0000  0.0000  6 Br 3.30-3.35
Ga  0.5000  0.5000  0.5000  6 Br 3.30-3.35
Br  0.2257  0.7552  0.9903  1 Ga 3.30, 2 Rb 3.46, 2 Cs 3.59
Br  0.2451  0.2541  0.0244  2 Ga 3.34-3.35, 1 Rb 3.46, 3 Cs 3.58-3.70
Br  0.7549  0.7459  0.9756  2 Ga 3.34-3.35, 1 Rb 3.46, 3 Cs 3.58-3.70

- Magnetic moment: 0.000 μB per atom
- Uncorrected formation energy: -1.440 eV per atom


No. 8
DFT (PBE) results for a geometry-optimized SiSe2F structure.

a = 4.4436 Å, b = 4.4436 Å, c = 4.4436 Å
α = 60.00°, β = 60.00°, γ = 60.00°
With the nearest neighbours (Å) after each atom.
Atoms (fractional coordinates):
Se  0.2500  0.2500  0.2500  4 Si 2.72, 4 F 2.72
Se  0.7500  0.7500  0.7500  4 Si 2.72, 4 F 2.72
F  0.0000  0.0000  0.0000  8 Se 2.72
Si  0.5000  0.5000  0.5000  8 Se 2.72

- Magnetic moment: 0.000 μB per atom
- Energy above the lowest structure with this stoichiometry: 342.5 meV/atom
- Uncorrected formation energy: -0.093 eV per atom


No. 9
DFT (PBE) results for a geometry-optimized CaPuNiPd structure.

a = 4.9112 Å, b = 4.9112 Å, c = 4.9112 Å
α = 60.00°, β = 60.00°, γ = 60.00°
With the nearest neighbours (Å) after each atom.
Atoms (fractional coordinates):
Ni  0.2500  0.2500  0.2500  4 Pu 3.01, 4 Ca 3.01
Pu  0.5000  0.5000  0.5000  4 Ni 3.01, 4 Pd 3.01
Ca  0.0000  0.0000  0.0000  4 Pd 3.01, 4 Ni 3.01
Pd  0.7500  0.7500  0.7500  4 Ca 3.01, 4 Pu 3.01

- Magnetic moment: 1.375 μB per atom
- Formation energy from the elements: -0.203 eV per atom


No. 10
DFT (PBE) results for a geometry-optimized Tl2CrCl structure.

a = 3.3169 Å, b = 3.3169 Å, c = 9.3218 Å
α = 90.00°, β = 90.00°, γ = 90.00°
With the nearest neighbours (Å) after each atom.
Atoms (fractional coordinates):
Tl  0.0000  0.0000  0.9503  4 Cr 3.14, 4 Tl 3.32, 1 Cl 3.43
Cl  0.0000  0.0000  0.5822  4 Cr 2.70
Tl  0.5000  0.5000  0.2409  8 Tl 3.32-3.58
Cr  0.5000  0.5000  0.7266  4 Cl 2.70

- Magnetic moment: 1.065 μB per atom
- Energy above the lowest structure with this stoichiometry: 65.4 meV/atom
- Uncorrected formation energy: -0.015 eV per atom


No. 11
DFT (PBE) results for a geometry-optimized Na2ThTlCl8 structure.

a = 6.5407 Å, b = 6.4390 Å, c = 8.9503 Å
α = 90.00°, β = 90.00°, γ = 94.65°
With the nearest neighbours (Å) after each atom.
Atoms (fractional coordinates):
Na  0.5000  0.5000  0.2511  6 Cl 2.79-2.96
Th  0.0000  0.0000  0.0000  6 Cl 2.68-2.71
Cl  0.1769  0.7929  0.2225  1 Th 2.71, 1 Na 2.96
Cl  0.6796  0.7138  0.0000  1 Th 2.68, 2 Na 2.84
Cl  0.1769  0.7929  0.7775  1 Th 2.71, 1 Na 2.96
Cl  0.3155  0.3042  0.5000  1 Tl 2.73, 2 Na 2.79
Cl  0.3204  0.2862  0.0000  1 Th 2.68, 2 Na 2.84
Na  0.5000  0.5000  0.7489  6 Cl 2.79-2.96
Cl  0.8231  0.2071  0.7775  1 Th 2.71, 1 Na 2.96
Cl  0.8231  0.2071  0.2225  1 Th 2.71, 1 Na 2.96
Cl  0.6845  0.6958  0.5000  1 Tl 2.73, 2 Na 2.79
Tl  0.0000  0.0000  0.5000  2 Cl 2.73

- Magnetic moment: 0.000 μB per atom
- Uncorrected formation energy: -1.666 eV per atom


| no. | VASP energy (eV/atom) |
| --- | --- |
| 1 | -3.7804 |
| 2 | -4.7074 |
| 3 | -3.7710 |
| 4 | -3.4622 |
| 5 | -6.5485 |
| 6 | -6.6265 |
| 7 | -2.9887 |
| 8 | -3.6585 |
| 9 | -7.0298 |
| 10 | -4.0652 |
| 11 | -3.9320 |